No. 1
CePaIr (GGA-PBE, optimized geometry); density = 13.72 Mg/m³; E_form = -0.489 eV/atom; E above lowest polymorph = 0.034 eV/atom
1.0
6.088 0.000 0.000
0.000 7.902 -2.609
0.000 0.034 5.658
Pa Ce Ir
4 4 4
direct
0.754 0.594 0.711
0.246 0.406 0.289
0.254 0.906 0.789
0.746 0.094 0.211
0.083 0.239 0.785
0.417 0.739 0.285
0.917 0.761 0.215
0.583 0.261 0.715
0.263 0.573 0.789
0.737 0.427 0.211
0.763 0.927 0.711
0.237 0.073 0.289

No. 2
Ce3PaIr3 (GGA-PBE, optimized geometry); density = 12.10 Mg/m³; E_form = -0.579 eV/atom
1.0
-4.951 -2.487 -4.068
-3.452 -0.501 5.923
-2.657 6.612 -0.916
Ir Ce Pa
6 6 2
direct
0.959 0.506 0.710
0.041 0.494 0.290
0.922 0.922 0.193
0.506 0.959 0.710
0.078 0.078 0.807
0.494 0.041 0.290
0.360 0.360 0.620
0.742 0.258 0.000
0.258 0.742 0.000
0.170 0.830 0.500
0.830 0.170 0.500
0.640 0.640 0.380
0.766 0.766 0.865
0.234 0.234 0.135

No. 3
CePmPa2Ir4 (GGA-PBE, optimized geometry); density = 13.82 Mg/m³; E_form = -0.736 eV/atom
1.0
-1.221 -5.529 0.749
4.440 -1.908 -3.045
1.542 3.651 5.785
Ir Ce Pm Pa
4 1 1 2
direct
0.402 0.999 0.000
0.169 0.169 0.499
0.669 0.669 0.501
0.999 0.402 0.000
0.923 0.923 0.000
0.493 0.493 0.000
0.672 0.172 0.500
0.172 0.672 0.500

No. 4
CePaIrPt (GGA-PBE, optimized geometry); density = 14.66 Mg/m³; E_form = -0.728 eV/atom; E above lowest polymorph = 0.220 eV/atom
1.0
-3.139 2.958 -2.434
-4.403 1.104 1.982
-0.887 4.578 1.669
Pt Ce Ir Pa
1 1 1 1
direct
0.750 0.750 0.750
0.000 0.000 0.000
0.250 0.250 0.250
0.500 0.500 0.500

No. 5
CePaIrPt (GGA-PBE, optimized geometry); density = 13.97 Mg/m³; E_form = -0.948 eV/atom; E above lowest polymorph = 0.000 eV/atom
1.0
-2.382 2.455 -1.683
0.325 -2.151 -3.599
-3.176 -4.425 2.358
Pa Pt Ir Ce
1 1 1 1
direct
0.134 0.000 0.267
0.407 0.000 0.814
0.601 0.500 0.202
0.858 0.500 0.716

No. 6
CePaIrRh (GGA-PBE, optimized geometry); density = 12.78 Mg/m³; E_form = -0.796 eV/atom; E above lowest polymorph = 0.000 eV/atom
1.0
-2.138 0.583 -3.080
0.417 -3.999 -1.046
-3.435 -1.518 4.435
Rh Ce Pa Ir
1 1 1 1
direct
0.600 0.500 0.200
0.862 0.500 0.724
0.136 0.000 0.272
0.402 0.000 0.804